Below is a relaxed CrPtO3 crystal, with properties calculated at the GGA+U level.

Results
**Total DFT energy (no corrections)**: -28.9 eV per cell
**Crystal system**: cubic

a = 3.9387 Å, b = 3.9387 Å, c = 3.9387 Å
α = 90.00°, β = 90.00°, γ = 90.00°
Closest atoms and distances in Å follow each position.
Space group Pm-3m (No. 221)
Symmetry-distinct sites (fractional):
Cr: 0.0000 0.0000 0.0000  12 O 2.79
Pt: 0.5000 0.5000 0.5000  6 O 1.97
O: 0.0000 0.5000 0.5000  2 Pt 1.97